# 1
VASP calculation (PBE) on AlCo5 after structural relaxation.

Structure (POSCAR):
```
AlCo5
1.0
4.054 0.000 0.000
0.000 2.587 0.000
0.000 0.000 12.862
Al Co
2 10
direct
0.000 0.000 0.000
0.000 0.500 0.500
0.000 0.000 0.327
0.000 0.000 0.668
0.000 0.500 0.168
0.000 0.500 0.827
0.500 0.000 0.215
0.500 0.000 0.551
0.500 0.000 0.880
0.500 0.500 0.051
0.500 0.500 0.380
0.500 0.500 0.715
```

Calculated values
calculated density = 7.919 g/cm³
energy of formation from the pure elements = -0.1144 eV/atom
excess energy over the best structure of this formula in the dataset = 0.0151 eV per atom
space group = No. 38


# 2
VASP calculation (PBE) on AlCo4 after structural relaxation.

Structure (POSCAR):
```
AlCo4
1.0
2.557 0.000 0.000
-1.278 2.214 0.000
0.000 0.000 10.556
Al Co
1 4
direct
0.000 0.000 0.000
0.333 0.667 0.192
0.333 0.667 0.408
0.667 0.333 0.592
0.667 0.333 0.808
```

Calculated values
calculated density = 7.299 g/cm³
energy of formation from the pure elements = 0.2093 eV/atom
excess energy over the best structure of this formula in the dataset = 0.3672 eV per atom
space group = No. 164


# 3
VASP calculation (PBE) on AlCo4 after structural relaxation.

Structure (POSCAR):
```
AlCo4
1.0
5.634 0.000 0.000
0.000 5.634 0.000
0.000 0.000 3.559
Al Co
2 8
direct
0.000 0.000 0.000
0.500 0.500 0.500
0.095 0.696 0.500
0.196 0.405 0.000
0.304 0.095 0.500
0.405 0.804 0.000
0.595 0.196 0.000
0.696 0.905 0.500
0.804 0.595 0.000
0.905 0.304 0.500
```

Calculated values
calculated density = 7.725 g/cm³
energy of formation from the pure elements = -0.1579 eV/atom
excess energy over the best structure of this formula in the dataset = 0.0000 eV per atom
space group = No. 87


# 4
VASP calculation (PBE) on Al2Co after structural relaxation.

Structure (POSCAR):
```
Al2Co
1.0
2.780 0.000 0.000
-1.390 2.408 0.000
0.000 0.000 20.119
Al Co
6 3
direct
0.000 0.000 0.067
0.000 0.000 0.933
0.333 0.667 0.591
0.333 0.667 0.726
0.667 0.333 0.274
0.667 0.333 0.409
0.000 0.000 0.500
0.333 0.667 0.843
0.667 0.333 0.157
```

Calculated values
calculated density = 4.176 g/cm³
energy of formation from the pure elements = 0.0809 eV/atom
space group = No. 164